LiPaBiO5 | PBE | optimized geometry

Symmetry   C2/c (15)
N(E_F)   2.93 states/eV/f.u.

a b c (Å): 6.025 6.025 7.092
angles (deg): 95.77 95.77 113.51
Sites, in units of the cell vectors:
Bi1 0.409 0.591 0.250
Bi2 0.591 0.409 0.750
Li1 0.298 0.702 0.750
Li2 0.702 0.298 0.250
O1 0.014 0.309 0.192
O2 0.121 0.879 0.250
O3 0.721 0.583 0.444
O4 0.691 0.986 0.308
O5 0.583 0.721 0.944
O6 0.279 0.417 0.556
O7 0.986 0.691 0.808
O8 0.879 0.121 0.750
O9 0.309 0.014 0.692
O10 0.417 0.279 0.056
Pa1 0.000 0.000 0.500
Pa2 0.000 0.000 0.000

***

LiPa2BiO8 | PBE | optimized geometry

Symmetry   P-3 (147)
N(E_F)   5.49 states/eV/f.u.

a b c (Å): 5.807 5.807 5.504
angles (deg): 90.00 90.00 120.00
Sites, in units of the cell vectors:
O1 0.333 0.667 0.559
O2 0.664 0.718 0.178
O3 0.667 0.333 0.441
O4 0.945 0.664 0.822
O5 0.282 0.945 0.178
O6 0.055 0.336 0.178
O7 0.718 0.055 0.822
O8 0.336 0.282 0.822
Bi1 0.000 0.000 0.500
Pa1 0.333 0.667 0.912
Pa2 0.667 0.333 0.088
Li1 0.000 0.000 0.000

***

no.,uncorrected formation energy (meV per atom),total magnetic moment (μB/cell)
1,-2159,0.00
2,-2135,2.06